Entry 1:
Material: YTlFeCu
Method: DFT, PBE
State: optimized geometry

The structure in POSCAR format:
```
YTlFeCu
1.0
-2.913 -3.593 -1.312
-2.517 -2.391 3.326
-4.769 0.553 0.264
Cu Fe Tl Y
1 1 1 1
direct
0.750 0.750 0.750
0.500 0.500 0.500
0.000 0.000 0.000
0.250 0.250 0.250
```

***

Entry 2:
Material: Y2TlFeCu
Method: DFT, PBE
State: optimized geometry

The structure in POSCAR format:
```
Y2TlFeCu
1.0
-0.264 -2.475 -2.789
5.632 -3.865 2.899
2.324 -5.378 4.554
Cu Fe Tl Y
1 1 1 2
direct
0.000 0.798 0.798
0.000 0.203 0.203
0.000 0.002 0.002
0.500 0.362 0.362
0.500 0.635 0.635
```

***

| no. | calculated total energy (eV per atom) |
| --- | --- |
| 1 | -4.91 |
| 2 | -5.64 |